# 1
{"formula": "SmY2Al", "functional": "PBE", "state": "optimized geometry", "cell": [[5.352, 0.000, 0.000], [0.000, 6.739, 0.000], [0.000, 0.000, 6.169]], "species": ["Sm", "Sm", "Y", "Y", "Y", "Y", "Al", "Al"], "frac_coords": [[0.250, 0.250, 0.122], [0.750, 0.750, 0.878], [0.250, 0.006, 0.659], [0.250, 0.494, 0.659], [0.750, 0.506, 0.341], [0.750, 0.994, 0.341], [0.250, 0.750, 0.175], [0.750, 0.250, 0.825]], "final_energy_ev_per_atom": -5.51, "polymorph_energy_ev_per_fu": 0.17, "formation_energy_ev_per_atom": -0.163, "crystal_system": "orthorhombic"}

***

# 2
{"formula": "SmY2Al2", "functional": "PBE", "state": "optimized geometry", "cell": [[7.875, 0.000, 0.000], [0.000, 7.875, 0.000], [0.000, 0.000, 4.374]], "species": ["Sm", "Sm", "Y", "Y", "Y", "Y", "Al", "Al", "Al", "Al"], "frac_coords": [[0.000, 0.000, 0.000], [0.500, 0.500, 0.000], [0.175, 0.325, 0.500], [0.325, 0.825, 0.500], [0.675, 0.175, 0.500], [0.825, 0.675, 0.500], [0.118, 0.618, 0.000], [0.382, 0.118, 0.000], [0.618, 0.882, 0.000], [0.882, 0.382, 0.000]], "final_energy_ev_per_atom": -5.33, "polymorph_energy_ev_per_fu": 0.00, "formation_energy_ev_per_atom": -0.301, "crystal_system": "tetragonal"}

***

# 3
{"formula": "Sm4YAl", "functional": "PBE", "state": "optimized geometry", "cell": [[4.437, -7.014, 0.000], [4.437, 7.014, 0.000], [-2.073, 0.000, 6.002]], "species": ["Sm", "Sm", "Sm", "Sm", "Sm", "Sm", "Sm", "Sm", "Y", "Y", "Al", "Al"], "frac_coords": [[0.085, 0.717, 0.955], [0.163, 0.396, 0.624], [0.283, 0.915, 0.545], [0.396, 0.163, 0.124], [0.604, 0.837, 0.876], [0.717, 0.085, 0.455], [0.837, 0.604, 0.376], [0.915, 0.283, 0.045], [0.411, 0.589, 0.250], [0.589, 0.411, 0.750], [0.000, 0.000, 0.250], [0.000, 0.000, 0.750]], "final_energy_ev_per_atom": -4.88, "polymorph_energy_ev_per_fu": 0.44, "formation_energy_ev_per_atom": -0.029, "crystal_system": "monoclinic"}

***

# 4
{"formula": "SmY4Al", "functional": "PBE", "state": "optimized geometry", "cell": [[3.572, 0.000, 0.000], [0.000, 3.572, 0.000], [0.000, 0.000, 14.056]], "species": ["Sm", "Y", "Y", "Y", "Y", "Al"], "frac_coords": [[0.000, 0.000, 0.000], [0.000, 0.000, 0.367], [0.000, 0.000, 0.633], [0.500, 0.500, 0.181], [0.500, 0.500, 0.819], [0.500, 0.500, 0.500]], "final_energy_ev_per_atom": -5.85, "polymorph_energy_ev_per_fu": 0.00, "formation_energy_ev_per_atom": -0.130, "crystal_system": "tetragonal"}

***

# 5
{"formula": "Sm4YAl", "functional": "PBE", "state": "optimized geometry", "cell": [[3.585, 0.000, 0.000], [0.000, 3.585, 0.000], [0.000, 0.000, 14.349]], "species": ["Sm", "Sm", "Sm", "Sm", "Y", "Al"], "frac_coords": [[0.000, 0.000, 0.136], [0.000, 0.000, 0.864], [0.500, 0.500, 0.320], [0.500, 0.500, 0.680], [0.000, 0.000, 0.500], [0.500, 0.500, 0.000]], "final_energy_ev_per_atom": -4.95, "polymorph_energy_ev_per_fu": 0.00, "formation_energy_ev_per_atom": -0.103, "crystal_system": "tetragonal"}

***

# 6
{"formula": "Sm4YAl4", "functional": "PBE", "state": "optimized geometry", "cell": [[8.874, 0.000, 0.000], [0.000, 8.874, 0.000], [0.000, 0.000, 5.971]], "species": ["Sm", "Sm", "Sm", "Sm", "Sm", "Sm", "Sm", "Sm", "Y", "Y", "Al", "Al", "Al", "Al", "Al", "Al", "Al", "Al"], "frac_coords": [[0.081, 0.825, 0.128], [0.175, 0.581, 0.628], [0.325, 0.919, 0.628], [0.419, 0.675, 0.128], [0.581, 0.325, 0.872], [0.675, 0.081, 0.372], [0.825, 0.419, 0.372], [0.919, 0.175, 0.872], [0.250, 0.250, 0.750], [0.750, 0.750, 0.250], [0.060, 0.157, 0.352], [0.157, 0.440, 0.148], [0.343, 0.060, 0.148], [0.440, 0.343, 0.352], [0.560, 0.657, 0.648], [0.657, 0.940, 0.852], [0.843, 0.560, 0.852], [0.940, 0.843, 0.648]], "final_energy_ev_per_atom": -4.63, "formation_energy_ev_per_atom": -0.151, "crystal_system": "tetragonal"}

***

# 7
{"formula": "SmY2Al", "functional": "PBE", "state": "optimized geometry", "cell": [[0.000, 3.818, 3.818], [3.818, 0.000, 3.818], [3.818, 3.818, 0.000]], "species": ["Sm", "Y", "Y", "Al"], "frac_coords": [[0.000, 0.000, 0.000], [0.250, 0.250, 0.250], [0.750, 0.750, 0.750], [0.500, 0.500, 0.500]], "final_energy_ev_per_atom": -5.37, "polymorph_energy_ev_per_fu": 0.71, "formation_energy_ev_per_atom": -0.026, "crystal_system": "cubic"}

***

# 8
{"formula": "Sm12Y5Al2", "functional": "PBE", "state": "optimized geometry", "cell": [[8.915, -4.026, 0.000], [8.915, 4.026, 0.000], [-2.835, 0.000, 8.496]], "species": ["Sm", "Sm", "Sm", "Sm", "Sm", "Sm", "Sm", "Sm", "Sm", "Sm", "Sm", "Sm", "Y", "Y", "Y", "Y", "Y", "Al", "Al"], "frac_coords": [[0.020, 0.020, 0.193], [0.114, 0.580, 0.029], [0.163, 0.561, 0.631], [0.420, 0.886, 0.971], [0.439, 0.837, 0.369], [0.451, 0.451, 0.332], [0.549, 0.549, 0.668], [0.561, 0.163, 0.631], [0.580, 0.114, 0.029], [0.837, 0.439, 0.369], [0.886, 0.420, 0.971], [0.980, 0.980, 0.807], [0.185, 0.185, 0.671], [0.251, 0.251, 0.279], [0.500, 0.500, 0.000], [0.749, 0.749, 0.721], [0.815, 0.815, 0.329], [0.162, 0.838, 0.500], [0.838, 0.162, 0.500]], "final_energy_ev_per_atom": -5.02, "formation_energy_ev_per_atom": 0.055, "crystal_system": "monoclinic"}